Entry 1:
VASP calculation (PBE-GGA) on an optimized crystal structure of MnPd5Au.

Results
Energy relative to the elements = -0.161 eV per formula unit
E_tot = -0.2025 hartree per atom

abc: 4.782 4.782 5.564
angles: 90.00 90.00 109.69
Atoms (fractional coordinates):
Mn: 0.500 0.500 0.500
Pd: 0.500 0.000 0.250
Pd: 0.000 0.500 0.250
Pd: 0.000 0.000 0.500
Pd: 0.000 0.500 0.750
Pd: 0.500 0.000 0.750
Au: 0.000 0.000 0.000

Entry 2:
VASP calculation (PBE-GGA) on an optimized crystal structure of MnPd2Au.

Results
Energy relative to the elements = 0.609 eV per formula unit
E_tot = -0.2042 hartree per atom

abc: 2.771 2.771 9.170
angles: 81.31 81.31 60.00
Atoms (fractional coordinates):
Mn: 0.667 0.667 0.000
Pd: 0.075 0.075 0.774
Pd: 0.258 0.258 0.225
Au: 0.500 0.500 0.501

Entry 3:
VASP calculation (PBE-GGA) on an optimized crystal structure of Mn2Pd3Au.

Results
Energy relative to the elements = -1.256 eV per formula unit
E_tot = -0.2355 hartree per atom

abc: 4.083 5.541 8.281
angles: 90.00 90.00 90.00
Atoms (fractional coordinates):
Mn: 0.500 0.655 0.853
Mn: 0.500 0.155 0.147
Mn: 0.000 0.345 0.664
Mn: 0.000 0.845 0.336
Pd: 0.000 0.413 0.986
Pd: 0.000 0.913 0.014
Pd: 0.500 0.646 0.173
Pd: 0.500 0.146 0.827
Pd: 0.000 0.349 0.323
Pd: 0.000 0.849 0.677
Au: 0.500 0.591 0.514
Au: 0.500 0.091 0.486

- What is the E_tot in the second record?
  -0.2042 hartree per atom

- The lowest E_tot belongs to which entry?
  Mn2Pd3Au

- Which formula does entry 2 have?
  MnPd2Au

- energy relative to the elements of number 2 (MnPd2Au)?
  0.609 eV per formula unit